Entry 1:
Compound: PaIn2Sb
Source: Alexandria via LeMat-Bulk
Functional: PBE
Structure: optimized geometry

Output
Its crystal system is trigonal. Its symmetry is No. 166. The calculation puts the distance to the lowest polymorph of the same formula at 563 meV/atom. The value obtained for the raw formation energy is 0.296 eV per atom.

```
4
Lattice="1.625 0.938 12.079 -1.625 0.938 12.079 0.000 -1.876 12.079" Properties=species:S:1:pos:R:3 pbc="T T T"
Pa 0.000 0.000 0.000
In 0.000 0.000 3.218
In 0.000 0.000 33.018
Sb 0.000 0.000 18.118
```



Entry 2:
Compound: Pa2InSb
Source: Alexandria via LeMat-Bulk
Functional: PBE
Structure: optimized geometry

Output
Its crystal system is tetragonal. Its symmetry is No. 123. The calculation puts the distance to the lowest polymorph of the same formula at 0 meV/atom. The value obtained for the raw formation energy is -0.140 eV per atom.

```
4
Lattice="3.541 0.000 0.000 0.000 3.541 0.000 0.000 0.000 8.272" Properties=species:S:1:pos:R:3 pbc="T T T"
Pa 0.000 0.000 1.945
Pa 0.000 0.000 6.328
In 1.771 1.771 4.136
Sb 1.771 1.771 0.000
```